Material: Na3Pu2TaN6
Method: DFT, GGA-PBE
State: optimized geometry

The structure belongs to space group C2/m (No. 12); the cell edges are 5.798, 10.045 and 5.999 Å and the angles 90.00°, 108.75° and 90.00°. Symmetry generates all atoms from Na at (0.000, 0.000, 0.000), Na at (0.000, 0.337, 0.000), Pu at (0.000, 0.167, 0.500), Ta at (0.000, 0.500, 0.500), N at (0.223, 0.339, 0.688) and N at (0.241, 0.000, 0.687).

The value obtained for the density is 8.25 g/cm3. As for the uncorrected formation energy: -9.97 eV per formula unit.

---

Material: Na3Pu3TaN8
Method: DFT, GGA-PBE
State: optimized geometry

The structure belongs to space group C2/m (No. 12); the cell edges are 11.670, 6.737 and 6.897 Å and the angles 90.00°, 124.24° and 90.00°. Symmetry generates all atoms from Na at (0.000, 0.000, 0.000), Na at (0.250, 0.250, 0.000), Pu at (0.000, 0.500, 0.500), Pu at (0.250, 0.250, 0.500), Ta at (0.000, 0.000, 0.500), N at (0.022, 0.241, 0.323), N at (0.220, 0.000, 0.677) and N at (0.228, 0.500, 0.686).

The value obtained for the density is 8.11 g/cm3. As for the uncorrected formation energy: -11.38 eV per formula unit.

---

Material: Na4Pu3TaN8
Method: DFT, GGA-PBE
State: optimized geometry

The structure belongs to space group R-3m (No. 166, hexagonal axes); the cell edges are 6.7597, 6.7597 and 16.9965 Å and the angles 90.00°, 90.00° and 120.00°. Symmetry generates all atoms from Na at (0.0000, 0.0000, 0.0000), Na at (0.0000, 0.5000, 0.0000), Pu at (0.0000, 0.5000, 0.5000), Ta at (0.0000, 0.0000, 0.5000), N at (0.0000, 0.0000, 0.2284) and N at (0.0123, 0.5061, 0.2287).

The value obtained for the density is 8.27 g/cm3. As for the uncorrected formation energy: -12.97 eV per formula unit.

---

Look up the density of the third one.
8.27 g/cm3